A relaxed Ca8Zn2In crystal. Source: Alexandria, functional PBE.

## Properties
As for the crystal system: monoclinic. Its space-group type is No. 8. The energy relative to the elements is -0.172 eV per atom.

```
11
Lattice="5.1911 0.0617 -1.5521 -0.9693 6.8569 -2.9679 0.1361 0.1748 9.9217" Properties=species:S:1:pos:R:3 pbc="T T T"
Ca 3.1850 1.9161 7.2882
Ca 5.1340 0.3294 4.2834
Ca 1.2293 2.3963 0.7736
Ca 2.9468 6.5199 -2.7829
Ca 1.0144 5.9709 0.1917
Ca 4.4469 3.1425 2.1020
Ca 0.2970 3.9696 7.1629
Ca 2.1468 5.1854 3.9526
Zn 3.5940 4.2358 -0.7101
Zn 2.2653 2.0451 4.2340
In -0.1118 6.8494 5.9149
```



A relaxed CrB crystal. Source: Alexandria, functional PBE.

## Properties
As for the crystal system: orthorhombic. Its space-group type is No. 70. The energy relative to the elements is -0.072 eV per atom.

```
32
Lattice="-4.9771 0.8888 0.8491 -1.1071 -0.0378 -6.4498 -1.4468 -8.3858 0.2974" Properties=species:S:1:pos:R:3 pbc="T T T"
Cr -0.7782 -0.0265 -4.5338
Cr -0.3289 -0.0112 -1.9160
Cr -1.6581 -1.8760 -0.0169
Cr -2.1074 -1.8914 -2.6347
Cr -0.9481 -4.2006 -1.1602
Cr -1.6058 -4.2230 -4.9922
Cr -2.9350 -6.0878 -3.0931
Cr -3.3843 -6.1032 -5.7109
Cr -3.9901 -3.7751 -3.9605
Cr -3.5408 -3.7597 -1.3427
Cr -4.8700 -5.6246 0.5563
Cr -5.3193 -5.6399 -2.0614
Cr -2.7132 0.4367 -0.8843
Cr -3.3710 0.4143 -4.7164
Cr -4.7001 -1.4505 -2.8173
Cr -5.1495 -1.4658 -5.4350
B -0.8457 0.1510 0.1443
B -4.1314 0.7378 0.7048
B -1.5906 -2.0536 -4.6950
B -3.2820 -1.7516 -4.4064
B -2.1226 -4.0608 -2.9319
B -5.4083 -3.4740 -2.3713
B -1.7605 -6.2276 -1.3214
B -3.4518 -5.9256 -1.0328
B -4.0576 -3.5975 0.7175
B -2.3663 -3.8995 0.4290
B -4.8025 -5.8021 -4.1217
B -6.4939 -5.5001 -3.8332
B -3.8877 0.5765 -2.6561
B -2.1964 0.2745 -2.9446
B -3.5256 -1.5903 -1.0455
B -5.2169 -1.2883 -0.7570
```



A relaxed SiTc5P2 crystal. Source: Alexandria, functional PBE.

## Properties
As for the formation energy (no corrections): -0.4166 eV per atom. As for the crystal system: orthorhombic. Its space-group type is No. 71.

```
8
Lattice="2.9097 0.0000 -0.5781 -0.5635 6.0295 -2.8362 -0.1943 -0.6058 6.6338" Properties=species:S:1:pos:R:3 pbc="T T T"
Si 0.0000 0.0000 0.0000
Tc -0.2817 3.0147 -1.4181
Tc 1.5836 1.9948 0.3593
Tc 0.5682 3.4289 2.8603
Tc 1.2751 5.2962 -1.1937
Tc 0.8768 0.1275 4.4132
P 0.1248 4.0153 0.6283
P 2.0271 1.4083 2.5912
```



A relaxed Ho2Ga3CoPt4 crystal. Source: Alexandria, functional PBE.

## Properties
As for the crystal system: tetragonal. Its space-group type is No. 115. The energy relative to the elements is -0.829 eV per atom.

```
10
Lattice="-1.5414 0.1407 3.7407 3.3781 -1.6908 1.4556 4.3994 10.0253 1.4356" Properties=species:S:1:pos:R:3 pbc="T T T"
Ho 0.3666 2.6621 2.2415
Ho 4.9511 6.5882 1.7923
Ga 2.1997 5.0127 0.7178
Ga 3.0249 8.7198 3.1090
Ga 2.2928 0.5305 0.9248
Co 3.1180 4.2376 3.3160
Pt 0.9183 -0.7750 2.5982
Pt 0.0000 0.0000 0.0000
Pt 2.0460 6.4890 2.7895
Pt 3.2718 2.7613 1.2443
```



A relaxed Dy3Ga2Hg crystal. Source: Alexandria, functional PBE.

## Properties
As for the crystal system: tetragonal. Its space-group type is No. 123. The energy relative to the elements is -0.544 eV per atom.

```
6
Lattice="3.5158 0.0000 0.0000 0.0000 3.5158 0.0000 0.0000 0.0000 11.4957" Properties=species:S:1:pos:R:3 pbc="T T T"
Dy 0.0000 0.0000 0.0000
Dy 0.0000 0.0000 7.8086
Dy 0.0000 0.0000 3.6870
Ga 1.7579 1.7579 9.6123
Ga 1.7579 1.7579 1.8834
Hg 1.7579 1.7579 5.7478
```



A relaxed CrBr2Cl crystal. Source: Alexandria, functional PBE.

## Properties
The distance to the lowest polymorph of the same formula is 793 meV per atom. As for the formation energy (no corrections): 0.0227 eV per atom. As for the crystal system: tetragonal. Its space-group type is No. 123.

```
4
Lattice="3.2915 0.0000 0.0000 0.0000 3.2915 0.0000 0.0000 0.0000 9.1166" Properties=species:S:1:pos:R:3 pbc="T T T"
Cr 1.6458 1.6458 6.8374
Br 0.0000 0.0000 8.4380
Br 0.0000 0.0000 5.2368
Cl 1.6458 1.6458 2.2791
```